Record 1
## Ho3TlIr (PBE)

Data for a relaxed structure of Ho3TlIr.

Values from the calculation:
E_form	-2.91	eV/f.u.
calculated volume	26.12	Å³/atom
DOS(E_F)	0.54	states/eV/atom
excess energy over the best structure of this formula in the dataset	0.000	eV/atom
E	-5.57	eV per atom

```
data_Ho3TlIr
_chemical_formula_sum 'Ho12 Tl4 Ir4'
_space_group_name_H-M_alt 'P 1'
_space_group_IT_number 1
_space_group_name_Hall 'P 1'
_cell_length_a 4.786
_cell_length_b 7.257
_cell_length_c 15.042
_cell_angle_alpha 90.00
_cell_angle_beta 90.00
_cell_angle_gamma 90.00
loop_
_atom_site_label
_atom_site_fract_x
_atom_site_fract_y
_atom_site_fract_z
_atom_site_occupancy
Tl1 0.250 0.080 0.179 1
Tl2 0.750 0.420 0.679 1
Ho1 0.250 0.695 0.723 1
Ho2 0.750 0.487 0.902 1
Ho3 0.750 0.987 0.598 1
Ho4 0.750 0.305 0.277 1
Ho5 0.250 0.195 0.777 1
Ir1 0.750 0.731 0.045 1
Ho6 0.750 0.634 0.457 1
Ir2 0.750 0.231 0.455 1
Tl3 0.250 0.580 0.321 1
Ho7 0.750 0.134 0.043 1
Ir3 0.250 0.769 0.545 1
Ho8 0.750 0.805 0.223 1
Ho9 0.250 0.513 0.098 1
Tl4 0.750 0.920 0.821 1
Ir4 0.250 0.269 0.955 1
Ho10 0.250 0.866 0.957 1
Ho11 0.250 0.013 0.402 1
Ho12 0.250 0.366 0.543 1
```

=====

Record 2
## HoTmTlIr (PBE)

Data for a relaxed structure of HoTmTlIr.

Values from the calculation:
E_form	-2.05	eV/f.u.
calculated volume	22.81	Å³/atom
DOS(E_F)	0.36	states/eV/atom
excess energy over the best structure of this formula in the dataset	0.127	eV/atom
E	-5.58	eV per atom

```
data_HoTmTlIr
_chemical_formula_sum 'Ho1 Tm1 Tl1 Ir1'
_space_group_name_H-M_alt 'P 1'
_space_group_IT_number 1
_space_group_name_Hall 'P 1'
_cell_length_a 5.053
_cell_length_b 5.053
_cell_length_c 5.053
_cell_angle_alpha 60.00
_cell_angle_beta 60.00
_cell_angle_gamma 60.00
loop_
_atom_site_label
_atom_site_fract_x
_atom_site_fract_y
_atom_site_fract_z
_atom_site_occupancy
Tm1 0.750 0.750 0.750 1
Ir1 0.000 0.000 0.000 1
Tl1 0.500 0.500 0.500 1
Ho1 0.250 0.250 0.250 1
```

=====

Record 3
## HoTmTlIr (PBE)

Data for a relaxed structure of HoTmTlIr.

Values from the calculation:
E_form	-2.55	eV/f.u.
calculated volume	23.61	Å³/atom
DOS(E_F)	0.76	states/eV/atom
excess energy over the best structure of this formula in the dataset	0.000	eV/atom
E	-5.71	eV per atom

```
data_HoTmTlIr
_chemical_formula_sum 'Ho1 Tm1 Tl1 Ir1'
_space_group_name_H-M_alt 'P 1'
_space_group_IT_number 1
_space_group_name_Hall 'P 1'
_cell_length_a 3.433
_cell_length_b 3.433
_cell_length_c 8.012
_cell_angle_alpha 90.00
_cell_angle_beta 90.00
_cell_angle_gamma 90.00
loop_
_atom_site_label
_atom_site_fract_x
_atom_site_fract_y
_atom_site_fract_z
_atom_site_occupancy
Ho1 0.500 0.500 0.776 1
Tl1 0.000 0.000 0.074 1
Ir1 0.000 0.000 0.568 1
Tm1 0.500 0.500 0.366 1
```

=====

Record 4
## YHoTlIr (PBE)

Data for a relaxed structure of YHoTlIr.

Values from the calculation:
E_form	-1.98	eV/f.u.
calculated volume	23.32	Å³/atom
DOS(E_F)	0.45	states/eV/atom
excess energy over the best structure of this formula in the dataset	0.119	eV/atom
E	-6.06	eV per atom

```
data_YHoTlIr
_chemical_formula_sum 'Y1 Ho1 Tl1 Ir1'
_space_group_name_H-M_alt 'P 1'
_space_group_IT_number 1
_space_group_name_Hall 'P 1'
_cell_length_a 5.091
_cell_length_b 5.091
_cell_length_c 5.091
_cell_angle_alpha 60.00
_cell_angle_beta 60.00
_cell_angle_gamma 60.00
loop_
_atom_site_label
_atom_site_fract_x
_atom_site_fract_y
_atom_site_fract_z
_atom_site_occupancy
Ir1 0.000 0.000 0.000 1
Y1 0.750 0.750 0.750 1
Ho1 0.250 0.250 0.250 1
Tl1 0.500 0.500 0.500 1
```

=====

Record 5
## YHoTlIr (PBE)

Data for a relaxed structure of YHoTlIr.

Values from the calculation:
E_form	-2.46	eV/f.u.
calculated volume	24.06	Å³/atom
DOS(E_F)	0.81	states/eV/atom
excess energy over the best structure of this formula in the dataset	0.000	eV/atom
E	-6.18	eV per atom

```
data_YHoTlIr
_chemical_formula_sum 'Y1 Ho1 Tl1 Ir1'
_space_group_name_H-M_alt 'P 1'
_space_group_IT_number 1
_space_group_name_Hall 'P 1'
_cell_length_a 3.467
_cell_length_b 3.467
_cell_length_c 8.010
_cell_angle_alpha 90.00
_cell_angle_beta 90.00
_cell_angle_gamma 90.00
loop_
_atom_site_label
_atom_site_fract_x
_atom_site_fract_y
_atom_site_fract_z
_atom_site_occupancy
Tl1 0.000 0.000 0.069 1
Y1 0.500 0.500 0.364 1
Ir1 0.000 0.000 0.575 1
Ho1 0.500 0.500 0.777 1
```

=====

Record 6
## HoTmIr (PBE)

Data for a relaxed structure of HoTmIr.

Values from the calculation:
E_form	-2.25	eV/f.u.
calculated volume	25.41	Å³/atom
DOS(E_F)	0.72	states/eV/atom
excess energy over the best structure of this formula in the dataset	0.000	eV/atom
E	-6.72	eV per atom

```
data_HoTmIr
_chemical_formula_sum 'Ho2 Tm2 Ir2'
_space_group_name_H-M_alt 'P 1'
_space_group_IT_number 1
_space_group_name_Hall 'P 1'
_cell_length_a 4.760
_cell_length_b 4.760
_cell_length_c 6.728
_cell_angle_alpha 90.02
_cell_angle_beta 90.01
_cell_angle_gamma 89.99
loop_
_atom_site_label
_atom_site_fract_x
_atom_site_fract_y
_atom_site_fract_z
_atom_site_occupancy
Ir1 0.500 0.500 0.500 1
Ho1 0.000 0.500 0.750 1
Tm1 0.500 0.000 0.250 1
Tm2 0.500 0.000 0.750 1
Ho2 0.000 0.500 0.250 1
Ir2 0.000 0.000 0.000 1
```

=====

Record 7
## HoTm3Ir3 (PBE)

Data for a relaxed structure of HoTm3Ir3.

Values from the calculation:
E_form	-3.99	eV/f.u.
calculated volume	23.82	Å³/atom
DOS(E_F)	0.47	states/eV/atom
excess energy over the best structure of this formula in the dataset	0.227	eV/atom
E	-6.94	eV per atom

```
data_HoTm3Ir3
_chemical_formula_sum 'Ho2 Tm6 Ir6'
_space_group_name_H-M_alt 'P 1'
_space_group_IT_number 1
_space_group_name_Hall 'P 1'
_cell_length_a 7.143
_cell_length_b 7.143
_cell_length_c 6.970
_cell_angle_alpha 88.02
_cell_angle_beta 88.02
_cell_angle_gamma 110.06
loop_
_atom_site_label
_atom_site_fract_x
_atom_site_fract_y
_atom_site_fract_z
_atom_site_occupancy
Tm1 0.859 0.141 0.500 1
Ir1 0.063 0.063 0.817 1
Ir2 0.470 0.819 0.648 1
Tm2 0.231 0.769 0.000 1
Tm3 0.769 0.231 0.000 1
Tm4 0.141 0.859 0.500 1
Ir3 0.530 0.181 0.352 1
Ir4 0.181 0.530 0.352 1
Ir5 0.819 0.470 0.648 1
Ho1 0.274 0.274 0.133 1
Tm5 0.362 0.362 0.643 1
Tm6 0.638 0.638 0.357 1
Ir6 0.937 0.937 0.183 1
Ho2 0.726 0.726 0.867 1
```

=====

Record 8
## HoTmIr (PBE)

Data for a relaxed structure of HoTmIr.

Values from the calculation:
E_form	-2.23	eV/f.u.
calculated volume	25.47	Å³/atom
DOS(E_F)	0.93	states/eV/atom
excess energy over the best structure of this formula in the dataset	0.006	eV/atom
E	-6.71	eV per atom

```
data_HoTmIr
_chemical_formula_sum 'Ho1 Tm1 Ir1'
_space_group_name_H-M_alt 'P 1'
_space_group_IT_number 1
_space_group_name_Hall 'P 1'
_cell_length_a 4.763
_cell_length_b 4.763
_cell_length_c 4.763
_cell_angle_alpha 60.00
_cell_angle_beta 60.00
_cell_angle_gamma 60.00
loop_
_atom_site_label
_atom_site_fract_x
_atom_site_fract_y
_atom_site_fract_z
_atom_site_occupancy
Tm1 0.000 0.000 0.000 1
Ho1 0.500 0.500 0.500 1
Ir1 0.250 0.250 0.250 1
```

=====

Record 9
## HoTm3Ir2 (PBE)

Data for a relaxed structure of HoTm3Ir2.

Values from the calculation:
E_form	-4.69	eV/f.u.
calculated volume	23.60	Å³/atom
DOS(E_F)	0.95	states/eV/atom
excess energy over the best structure of this formula in the dataset	0.000	eV/atom
E	-6.73	eV per atom

```
data_HoTm3Ir2
_chemical_formula_sum 'Ho2 Tm6 Ir4'
_space_group_name_H-M_alt 'P 1'
_space_group_IT_number 1
_space_group_name_Hall 'P 1'
_cell_length_a 4.534
_cell_length_b 7.178
_cell_length_c 8.702
_cell_angle_alpha 90.00
_cell_angle_beta 90.00
_cell_angle_gamma 90.00
loop_
_atom_site_label
_atom_site_fract_x
_atom_site_fract_y
_atom_site_fract_z
_atom_site_occupancy
Tm1 0.000 0.858 0.673 1
Ho1 0.500 0.510 0.587 1
Ir1 0.000 0.755 0.345 1
Tm2 0.000 0.490 0.913 1
Tm3 0.000 0.990 0.087 1
Ho2 0.500 0.010 0.413 1
Ir2 0.000 0.255 0.655 1
Tm4 0.500 0.142 0.829 1
Ir3 0.500 0.744 0.846 1
Tm5 0.000 0.358 0.327 1
Tm6 0.500 0.642 0.171 1
Ir4 0.500 0.244 0.154 1
```

=====

Record 10
## Ho2TmIr3 (PBE)

Data for a relaxed structure of Ho2TmIr3.

Values from the calculation:
E_form	-5.23	eV/f.u.
calculated volume	19.69	Å³/atom
DOS(E_F)	0.43	states/eV/atom
excess energy over the best structure of this formula in the dataset	0.000	eV/atom
E	-7.57	eV per atom

```
data_Ho2TmIr3
_chemical_formula_sum 'Ho2 Tm1 Ir3'
_space_group_name_H-M_alt 'P 1'
_space_group_IT_number 1
_space_group_name_Hall 'P 1'
_cell_length_a 4.812
_cell_length_b 4.812
_cell_length_c 5.892
_cell_angle_alpha 90.00
_cell_angle_beta 90.00
_cell_angle_gamma 120.00
loop_
_atom_site_label
_atom_site_fract_x
_atom_site_fract_y
_atom_site_fract_z
_atom_site_occupancy
Ir1 0.333 0.667 0.165 1
Ho1 0.667 0.333 0.333 1
Ho2 0.333 0.667 0.667 1
Ir2 0.000 0.000 0.500 1
Ir3 0.667 0.333 0.835 1
Tm1 0.000 0.000 0.000 1
```

=====

Record 11
## Ho3TmIr2 (PBE)

Data for a relaxed structure of Ho3TmIr2.

Values from the calculation:
E_form	-4.03	eV/f.u.
calculated volume	26.45	Å³/atom
DOS(E_F)	0.81	states/eV/atom
excess energy over the best structure of this formula in the dataset	0.000	eV/atom
E	-6.66	eV per atom

```
data_Ho3TmIr2
_chemical_formula_sum 'Ho6 Tm2 Ir4'
_space_group_name_H-M_alt 'P 1'
_space_group_IT_number 1
_space_group_name_Hall 'P 1'
_cell_length_a 6.703
_cell_length_b 7.021
_cell_length_c 8.309
_cell_angle_alpha 114.99
_cell_angle_beta 113.79
_cell_angle_gamma 90.00
loop_
_atom_site_label
_atom_site_fract_x
_atom_site_fract_y
_atom_site_fract_z
_atom_site_occupancy
Tm1 0.000 0.500 0.000 1
Ho1 0.233 0.983 0.467 1
Ir1 0.851 0.138 0.276 1
Tm2 0.000 0.000 0.000 1
Ho2 0.767 0.017 0.533 1
Ir2 0.424 0.638 0.276 1
Ho3 0.500 0.250 0.000 1
Ho4 0.767 0.517 0.533 1
Ir3 0.149 0.862 0.724 1
Ir4 0.576 0.362 0.724 1
Ho5 0.233 0.483 0.467 1
Ho6 0.500 0.750 0.000 1
```

=====

Record 12
## Ho3TmIr2 (PBE)

Data for a relaxed structure of Ho3TmIr2.

Values from the calculation:
E_form	-3.69	eV/f.u.
calculated volume	24.04	Å³/atom
DOS(E_F)	0.71	states/eV/atom
excess energy over the best structure of this formula in the dataset	0.057	eV/atom
E	-6.60	eV per atom

```
data_Ho3TmIr2
_chemical_formula_sum 'Ho3 Tm1 Ir2'
_space_group_name_H-M_alt 'P 1'
_space_group_IT_number 1
_space_group_name_Hall 'P 1'
_cell_length_a 4.275
_cell_length_b 4.595
_cell_length_c 7.986
_cell_angle_alpha 106.80
_cell_angle_beta 105.49
_cell_angle_gamma 90.01
loop_
_atom_site_label
_atom_site_fract_x
_atom_site_fract_y
_atom_site_fract_z
_atom_site_occupancy
Ho1 0.500 0.500 0.000 1
Ir1 0.628 0.129 0.257 1
Ho2 0.815 0.316 0.631 1
Ho3 0.185 0.684 0.369 1
Tm1 0.000 0.000 0.000 1
Ir2 0.372 0.871 0.743 1
```